Dy3B4PbO12 (PBE, relaxed); formation energy without anion corrections = -5266.1 kJ/mol of formula units
1.0
6.575 0.079 0.109
-1.508 6.400 0.109
-1.508 -1.928 6.104
O B Pb Dy
12 4 1 3
direct
0.822 0.030 0.628 O
0.098 0.902 0.500 O
0.628 0.822 0.030 O
0.365 0.635 0.500 O
0.372 0.970 0.178 O
0.902 0.500 0.098 O
0.635 0.500 0.365 O
0.500 0.365 0.635 O
0.500 0.098 0.902 O
0.178 0.372 0.970 O
0.970 0.178 0.372 O
0.030 0.628 0.822 O
0.964 0.036 0.500 B
0.500 0.500 0.500 B
0.500 0.964 0.036 B
0.036 0.500 0.964 B
0.000 0.000 0.000 Pb
0.538 0.462 0.000 Dy
0.000 0.538 0.462 Dy
0.462 0.000 0.538 Dy